#w
Computed, not measured: a relaxed structure of ZnCdCoB at the GGA-PBE level of DFT.

**Spin magnetization**: 0.06 μB per atom

abc: 4.1549 4.1549 4.1549
angles: 60.00 60.00 60.00
Positions (direct):
Zn  0.0000  0.0000  0.0000
Cd  0.2500  0.2500  0.2500
Co  0.7500  0.7500  0.7500
B  0.5000  0.5000  0.5000

---

#x
Computed, not measured: a relaxed structure of ZnCdCoB at the GGA-PBE level of DFT.

**Spin magnetization**: 0.11 μB per atom

abc: 4.1783 4.1783 4.1783
angles: 60.00 60.00 60.00
Positions (direct):
Zn  0.0000  0.0000  0.0000
Cd  0.7500  0.7500  0.7500
Co  0.5000  0.5000  0.5000
B  0.2500  0.2500  0.2500

---

The energy of each structure relative to the most stable one, in meV per atom, is as follows: #w 0; #x 74.

---

#w
Computed, not measured: a relaxed structure of CsCdB at the GGA-PBE level of DFT.

abc: 5.1565 5.1565 5.1565
angles: 60.00 60.00 60.00
Positions (direct):
Cs  0.0000  0.0000  0.0000
Cd  0.5000  0.5000  0.5000
B  0.7500  0.7500  0.7500

---

#x
Computed, not measured: a relaxed structure of CsCdB at the GGA-PBE level of DFT.

abc: 5.4264 5.4264 5.4264
angles: 60.00 60.00 60.00
Positions (direct):
Cs  0.0000  0.0000  0.0000
Cd  0.7500  0.7500  0.7500
B  0.5000  0.5000  0.5000

---

The energy of each structure relative to the most stable one, in meV per atom, is as follows: #w 0; #x 221.

---

#w
Computed, not measured: a relaxed structure of ScCdCuB at the GGA-PBE level of DFT.

**Spin magnetization**: 0.00 μB per atom

abc: 4.3979 4.3979 4.3979
angles: 60.00 60.00 60.00
Positions (direct):
Sc  0.0000  0.0000  0.0000
Cd  0.2500  0.2500  0.2500
Cu  0.5000  0.5000  0.5000
B  0.7500  0.7500  0.7500

---

#x
Computed, not measured: a relaxed structure of ScCdCuB at the GGA-PBE level of DFT.

**Spin magnetization**: 0.00 μB per atom

abc: 4.3889 4.3889 4.3889
angles: 60.00 60.00 60.00
Positions (direct):
Sc  0.0000  0.0000  0.0000
Cd  0.2500  0.2500  0.2500
Cu  0.7500  0.7500  0.7500
B  0.5000  0.5000  0.5000

---

The energy of each structure relative to the most stable one, in meV per atom, is as follows: #w 0; #x 158.